1.
Density functional theory data (PBE) for a relaxed structure of TaTl2Ag.

Lattice parameters (Å, degrees): 7.105 7.105 7.105 90.00 90.00 90.00
Space group F-43m (No. 216)
Symmetry-distinct sites (fractional):
Ta  0.000  0.000  0.000 (multiplicity 4)
Tl  0.000  0.000  0.500 (multiplicity 4)
Tl  0.250  0.250  0.750 (multiplicity 4)
Ag  0.250  0.250  0.250 (multiplicity 4)

Results
Crystal system = cubic
Total moment = 7.5 μB/cell
Fermi-level density of states = 3.5 states/eV/f.u.
ΔH_f (0 K) = 885 meV per atom


2.
Density functional theory data (PBE) for a relaxed structure of TaTl2Ag.

Lattice parameters (Å, degrees): 4.376 4.376 8.968 90.00 90.00 90.00
Space group I4/mmm (No. 139)
Symmetry-distinct sites (fractional):
Ta  0.000  0.000  0.000 (multiplicity 2)
Tl  0.000  0.500  0.250 (multiplicity 4)
Ag  0.000  0.000  0.500 (multiplicity 2)

Results
Crystal system = tetragonal
Total moment = 0.6 μB/cell
Fermi-level density of states = 4.3 states/eV/f.u.
ΔH_f (0 K) = 742 meV per atom


3.
Density functional theory data (PBE) for a relaxed structure of TaTl2Ag.

Lattice parameters (Å, degrees): 3.068 5.206 5.562 90.00 90.00 90.00
Space group Pmmm (No. 47)
Symmetry-distinct sites (fractional):
Ta  0.000  0.000  0.000 (multiplicity 1)
Tl  0.000  0.500  0.500 (multiplicity 1)
Tl  0.500  0.500  0.000 (multiplicity 1)
Ag  0.500  0.000  0.500 (multiplicity 1)

Results
Crystal system = orthorhombic
Total moment = 0.1 μB/cell
Fermi-level density of states = 3.3 states/eV/f.u.
ΔH_f (0 K) = 620 meV per atom


4.
Density functional theory data (PBE) for a relaxed structure of TaTlAg4.

Lattice parameters (Å, degrees): 7.782 7.782 7.782 90.00 90.00 90.00
Space group F-43m (No. 216)
Symmetry-distinct sites (fractional):
Ta  0.000  0.000  0.000 (multiplicity 4)
Tl  0.250  0.250  0.750 (multiplicity 4)
Ag  0.126  0.126  0.374 (multiplicity 16)

Results
Crystal system = cubic
Total moment = 7.6 μB/cell
Fermi-level density of states = 3.9 states/eV/f.u.
ΔH_f (0 K) = 571 meV per atom


5.
Density functional theory data (PBE) for a relaxed structure of TaTlAg2.

Lattice parameters (Å, degrees): 3.056 5.047 5.093 90.00 90.00 90.00
Space group Pmmm (No. 47)
Symmetry-distinct sites (fractional):
Ta  0.000  0.000  0.000 (multiplicity 1)
Tl  0.500  0.500  0.000 (multiplicity 1)
Ag  0.000  0.500  0.500 (multiplicity 1)
Ag  0.500  0.000  0.500 (multiplicity 1)

Results
Crystal system = orthorhombic
Total moment = 0.0 μB/cell
Fermi-level density of states = 3.1 states/eV/f.u.
ΔH_f (0 K) = 475 meV per atom


6.
Density functional theory data (PBE) for a relaxed structure of Ta3TlAg.

Lattice parameters (Å, degrees): 4.922 4.922 4.922 90.00 90.00 90.00
Space group Pm-3m (No. 221)
Symmetry-distinct sites (fractional):
Ta  0.000  0.000  0.500 (multiplicity 3)
Tl  0.500  0.500  0.500 (multiplicity 1)
Ag  0.000  0.000  0.000 (multiplicity 1)

Results
Crystal system = cubic
Total moment = 0.0 μB/cell
Fermi-level density of states = 8.1 states/eV/f.u.
ΔH_f (0 K) = 1852 meV per atom